[1]
{
  "formula": "Tb3In5S12",
  "functional": "SCAN",
  "state": "single point on PBEsol structure",
  "lattice_angstrom": [[10.858, 0.000, 0.000], [0.000, 3.856, 0.000], [-2.225, 0.000, 20.982]],
  "species": ["Tb", "Tb", "Tb", "Tb", "Tb", "Tb", "In", "In", "In", "In", "In", "In", "In", "In", "In", "In", "S", "S", "S", "S", "S", "S", "S", "S", "S", "S", "S", "S", "S", "S", "S", "S", "S", "S", "S", "S", "S", "S", "S", "S"],
  "frac_coords": [[0.027, 0.250, 0.412], [0.088, 0.750, 0.765], [0.286, 0.750, 0.285], [0.714, 0.250, 0.715], [0.912, 0.250, 0.235], [0.973, 0.750, 0.588], [0.165, 0.750, 0.113], [0.242, 0.250, 0.941], [0.349, 0.750, 0.472], [0.354, 0.250, 0.667], [0.456, 0.750, 0.826], [0.544, 0.250, 0.174], [0.646, 0.750, 0.333], [0.651, 0.250, 0.528], [0.758, 0.750, 0.059], [0.835, 0.250, 0.887], [0.036, 0.750, 0.316], [0.061, 0.250, 0.859], [0.124, 0.750, 0.492], [0.129, 0.250, 0.036], [0.162, 0.250, 0.210], [0.202, 0.750, 0.651], [0.277, 0.250, 0.386], [0.291, 0.250, 0.783], [0.385, 0.750, 0.940], [0.390, 0.750, 0.160], [0.421, 0.250, 0.552], [0.484, 0.250, 0.290], [0.516, 0.750, 0.710], [0.579, 0.750, 0.448], [0.610, 0.250, 0.840], [0.615, 0.250, 0.060], [0.709, 0.750, 0.217], [0.723, 0.750, 0.614], [0.798, 0.250, 0.349], [0.838, 0.750, 0.790], [0.871, 0.750, 0.964], [0.876, 0.250, 0.508], [0.939, 0.750, 0.141], [0.964, 0.250, 0.684]],
  "crystal_system": "monoclinic",
  "raw_formation_energy_mev_per_atom": -1313,
  "space_group": "No. 11",
  "total_energy_ev_per_atom": -22.45
}

=====

[2]
{
  "formula": "TeIOF2",
  "functional": "SCAN",
  "state": "single point on PBEsol structure",
  "lattice_angstrom": [[4.873, 0.000, 0.000], [0.000, 4.873, 0.000], [0.000, 0.000, 3.964]],
  "species": ["Te", "I", "O", "F", "F"],
  "frac_coords": [[0.000, 0.000, 0.000], [0.500, 0.500, 0.500], [0.500, 0.500, 0.000], [0.000, 0.500, 0.500], [0.500, 0.000, 0.500]],
  "crystal_system": "tetragonal",
  "raw_formation_energy_mev_per_atom": -164,
  "space_group": "No. 123",
  "total_energy_ev_per_atom": -17.62
}

=====

[3]
{
  "formula": "HfIn2ReRu",
  "functional": "SCAN",
  "state": "single point on PBEsol structure",
  "lattice_angstrom": [[5.010, 0.000, 0.000], [0.000, 5.010, 0.000], [0.000, 0.000, 4.589]],
  "species": ["Hf", "In", "In", "Re", "Ru"],
  "frac_coords": [[0.000, 0.000, 0.000], [0.000, 0.500, 0.500], [0.500, 0.000, 0.500], [0.500, 0.500, 0.500], [0.500, 0.500, 0.000]],
  "crystal_system": "tetragonal",
  "space_group": "No. 123",
  "total_energy_ev_per_atom": -45.86,
  "e_form_ev_per_atom": 1.22
}

=====

[4]
{
  "formula": "NaPt3",
  "functional": "SCAN",
  "state": "single point on PBEsol structure",
  "lattice_angstrom": [[4.726, -1.349, 0.000], [4.726, 1.349, 0.000], [-0.720, 0.000, 4.822]],
  "species": ["Na", "Pt", "Pt", "Pt"],
  "frac_coords": [[0.000, 0.000, 0.000], [0.243, 0.243, 0.743], [0.500, 0.500, 0.500], [0.757, 0.757, 0.257]],
  "crystal_system": "monoclinic",
  "space_group": "No. 12",
  "total_energy_ev_per_atom": -53.80,
  "e_form_ev_per_atom": -0.10
}

=====

[5]
{
  "formula": "NaVN2",
  "functional": "SCAN",
  "state": "single point on PBEsol structure",
  "lattice_angstrom": [[2.895, -5.850, 0.000], [2.895, 5.850, 0.000], [0.000, 0.000, 6.828]],
  "species": ["Na", "Na", "Na", "Na", "V", "V", "V", "V", "N", "N", "N", "N", "N", "N", "N", "N"],
  "frac_coords": [[0.175, 0.825, 0.929], [0.325, 0.675, 0.429], [0.675, 0.325, 0.571], [0.825, 0.175, 0.071], [0.070, 0.930, 0.356], [0.430, 0.570, 0.856], [0.570, 0.430, 0.144], [0.930, 0.070, 0.644], [0.083, 0.917, 0.616], [0.113, 0.387, 0.750], [0.387, 0.113, 0.250], [0.417, 0.583, 0.116], [0.583, 0.417, 0.884], [0.613, 0.887, 0.750], [0.887, 0.613, 0.250], [0.917, 0.083, 0.384]],
  "crystal_system": "orthorhombic",
  "raw_formation_energy_mev_per_atom": -850,
  "space_group": "No. 64",
  "total_energy_ev_per_atom": -10.92
}

=====

[6]
{
  "formula": "BaMoPt2",
  "functional": "SCAN",
  "state": "single point on PBEsol structure",
  "lattice_angstrom": [[0.000, 3.347, 3.347], [3.347, 0.000, 3.347], [3.347, 3.347, 0.000]],
  "species": ["Ba", "Mo", "Pt", "Pt"],
  "frac_coords": [[0.000, 0.000, 0.000], [0.250, 0.250, 0.250], [0.500, 0.500, 0.500], [0.750, 0.750, 0.750]],
  "crystal_system": "cubic",
  "space_group": "No. 216",
  "polymorph_energy_mev_per_atom": 805,
  "total_energy_ev_per_atom": -53.06,
  "e_form_ev_per_atom": 0.64
}